Record 1
# YScGaNi | Alexandria via LeMat-Bulk | PBE | relaxed
data_YScGaNi
_chemical_formula_sum 'Y4 Sc4 Ga4 Ni4'
_cell_length_a 6.7828
_cell_length_b 6.7828
_cell_length_c 6.7828
_cell_angle_alpha 90.00
_cell_angle_beta 90.00
_cell_angle_gamma 90.00
_symmetry_space_group_name_H-M 'F -4 3 m'
_symmetry_Int_Tables_number 216
_symmetry_space_group_name_Hall 'F -4 2 3'
loop_
_atom_site_label
_atom_site_fract_x
_atom_site_fract_y
_atom_site_fract_z
_atom_site_occupancy
Y1 0.0000 0.0000 0.0000 1
Sc1 0.0000 0.0000 0.5000 1
Ga1 0.2500 0.2500 0.7500 1
Ni1 0.2500 0.2500 0.2500 1
# - DOS(E_F): 0.843 states/eV per atom
# - V: 19.5 Å³/atom
# - ΔH_f (0 K): -45 kJ/mol of atoms


Record 2
# YScGa5Ni2 | Alexandria via LeMat-Bulk | PBE | relaxed
data_YScGa5Ni2
_chemical_formula_sum 'Y1 Sc1 Ga5 Ni2'
_cell_length_a 4.0640
_cell_length_b 4.0640
_cell_length_c 9.5415
_cell_angle_alpha 90.00
_cell_angle_beta 90.00
_cell_angle_gamma 90.00
_symmetry_space_group_name_H-M 'P 4/m m m'
_symmetry_Int_Tables_number 123
_symmetry_space_group_name_Hall '-P 4 2'
loop_
_atom_site_label
_atom_site_fract_x
_atom_site_fract_y
_atom_site_fract_z
_atom_site_occupancy
Y1 0.0000 0.0000 0.0000 1
Sc1 0.0000 0.0000 0.5000 1
Ga1 0.0000 0.5000 0.2470 1
Ga2 0.5000 0.5000 0.0000 1
Ni1 0.5000 0.5000 0.3832 1
# - DOS(E_F): 0.674 states/eV per atom
# - V: 17.5 Å³/atom
# - ΔH_f (0 K): -38 kJ/mol of atoms


Record 3
# YScGa2Ni5 | Alexandria via LeMat-Bulk | PBE | relaxed
data_YScGa2Ni5
_chemical_formula_sum 'Y1 Sc1 Ga2 Ni5'
_cell_length_a 3.8984
_cell_length_b 3.8984
_cell_length_c 8.8994
_cell_angle_alpha 90.00
_cell_angle_beta 90.00
_cell_angle_gamma 90.00
_symmetry_space_group_name_H-M 'P 4/m m m'
_symmetry_Int_Tables_number 123
_symmetry_space_group_name_Hall '-P 4 2'
loop_
_atom_site_label
_atom_site_fract_x
_atom_site_fract_y
_atom_site_fract_z
_atom_site_occupancy
Y1 0.0000 0.0000 0.0000 1
Sc1 0.0000 0.0000 0.5000 1
Ga1 0.5000 0.5000 0.3625 1
Ni1 0.0000 0.5000 0.2185 1
Ni2 0.5000 0.5000 0.0000 1
# - DOS(E_F): 0.650 states/eV per atom
# - V: 15.0 Å³/atom
# - ΔH_f (0 K): -33 kJ/mol of atoms


Record 4
# Sc4ZnGa2Ni | Alexandria via LeMat-Bulk | PBE | relaxed
data_Sc4ZnGa2Ni
_chemical_formula_sum 'Sc12 Zn3 Ga6 Ni3'
_cell_length_a 4.6927
_cell_length_b 4.6927
_cell_length_c 22.8800
_cell_angle_alpha 90.00
_cell_angle_beta 90.00
_cell_angle_gamma 120.00
_symmetry_space_group_name_H-M 'R -3 m'
_symmetry_Int_Tables_number 166
_symmetry_space_group_name_Hall '-R 3 2"'
loop_
_atom_site_label
_atom_site_fract_x
_atom_site_fract_y
_atom_site_fract_z
_atom_site_occupancy
Sc1 0.0000 0.0000 0.1209 1
Sc2 0.0000 0.0000 0.3718 1
Zn1 0.0000 0.0000 0.5000 1
Ga1 0.0000 0.0000 0.2476 1
Ni1 0.0000 0.0000 0.0000 1
# - DOS(E_F): 0.456 states/eV per atom
# - V: 18.2 Å³/atom
# - ΔH_f (0 K): -52 kJ/mol of atoms


Record 5
# Sc2ZnGa2Ni5 | Alexandria via LeMat-Bulk | PBE | relaxed
data_Sc2ZnGa2Ni5
_chemical_formula_sum 'Sc4 Zn2 Ga4 Ni10'
_cell_length_a 9.1473
_cell_length_b 9.1473
_cell_length_c 3.4182
_cell_angle_alpha 90.00
_cell_angle_beta 90.00
_cell_angle_gamma 90.00
_symmetry_space_group_name_H-M 'P 4/m b m'
_symmetry_Int_Tables_number 127
_symmetry_space_group_name_Hall '-P 4 2ab'
loop_
_atom_site_label
_atom_site_fract_x
_atom_site_fract_y
_atom_site_fract_z
_atom_site_occupancy
Sc1 0.1738 0.3262 0.0000 1
Zn1 0.0000 0.0000 0.0000 1
Ga1 0.1247 0.6247 0.0000 1
Ni1 0.0000 0.5000 0.5000 1
Ni2 0.0571 0.7983 0.5000 1
# - DOS(E_F): 0.922 states/eV per atom
# - V: 14.3 Å³/atom
# - ΔH_f (0 K): -35 kJ/mol of atoms


Record 6
# Sc4ZnGaNi2 | Alexandria via LeMat-Bulk | PBE | relaxed
data_Sc4ZnGaNi2
_chemical_formula_sum 'Sc12 Zn3 Ga3 Ni6'
_cell_length_a 4.6154
_cell_length_b 4.6154
_cell_length_c 22.6763
_cell_angle_alpha 90.00
_cell_angle_beta 90.00
_cell_angle_gamma 120.00
_symmetry_space_group_name_H-M 'R -3 m'
_symmetry_Int_Tables_number 166
_symmetry_space_group_name_Hall '-R 3 2"'
loop_
_atom_site_label
_atom_site_fract_x
_atom_site_fract_y
_atom_site_fract_z
_atom_site_occupancy
Sc1 0.0000 0.0000 0.1242 1
Sc2 0.0000 0.0000 0.3745 1
Zn1 0.0000 0.0000 0.0000 1
Ga1 0.0000 0.0000 0.5000 1
Ni1 0.0000 0.0000 0.2494 1
# - DOS(E_F): 0.840 states/eV per atom
# - V: 17.4 Å³/atom
# - ΔH_f (0 K): -46 kJ/mol of atoms